[1]
Compound: NbHgI3
Source: the Alexandria database
Functional: GGA-PBE
Structure: relaxed

a = 5.862 Å, b = 5.862 Å, c = 5.862 Å
α = 90.00°, β = 90.00°, γ = 90.00°
Atoms (fractional coordinates):
Nb (0.000, 0.000, 0.000)
Hg (0.500, 0.500, 0.500)
I (0.000, 0.500, 0.500)
I (0.500, 0.000, 0.500)
I (0.500, 0.500, 0.000)

## Properties
The calculation puts the density of states at the Fermi level at 7.04 states/eV/f.u. The calculation puts the uncorrected formation energy at 19.7 kcal/mol of atoms.

***

[2]
Compound: NbHgI2
Source: the Alexandria database
Functional: GGA-PBE
Structure: relaxed

a = 7.678 Å, b = 7.678 Å, c = 7.678 Å
α = 98.43°, β = 98.43°, γ = 134.97°
Atoms (fractional coordinates):
Nb (0.000, 0.000, 0.000)
Nb (0.750, 0.250, 0.500)
Hg (0.250, 0.750, 0.500)
Hg (0.500, 0.500, 0.000)
I (0.375, 0.236, 0.361)
I (0.764, 0.125, 0.139)
I (0.875, 0.014, 0.639)
I (0.986, 0.625, 0.861)

## Properties
The calculation puts the density of states at the Fermi level at 2.26 states/eV/f.u. The calculation puts the uncorrected formation energy at 1.7 kcal/mol of atoms.

***

[3]
Compound: NbHgI2
Source: the Alexandria database
Functional: GGA-PBE
Structure: relaxed

a = 8.465 Å, b = 8.465 Å, c = 19.538 Å
α = 96.67°, β = 96.67°, γ = 89.89°
Atoms (fractional coordinates):
Nb (0.158, 0.699, 0.799)
Nb (0.300, 0.511, 0.699)
Nb (0.301, 0.842, 0.701)
Nb (0.489, 0.700, 0.801)
Nb (0.511, 0.300, 0.199)
Nb (0.699, 0.158, 0.299)
Nb (0.700, 0.489, 0.301)
Nb (0.842, 0.301, 0.201)
Hg (0.116, 0.757, 0.084)
Hg (0.230, 0.286, 0.426)
Hg (0.243, 0.884, 0.416)
Hg (0.286, 0.230, 0.926)
Hg (0.714, 0.770, 0.074)
Hg (0.757, 0.116, 0.584)
Hg (0.770, 0.714, 0.574)
Hg (0.884, 0.243, 0.916)
I (0.025, 0.411, 0.743)
I (0.032, 0.968, 0.750)
I (0.151, 0.281, 0.119)
I (0.272, 0.647, 0.575)
I (0.281, 0.151, 0.619)
I (0.353, 0.728, 0.925)
I (0.408, 0.592, 0.250)
I (0.411, 0.025, 0.243)
I (0.589, 0.975, 0.757)
I (0.592, 0.408, 0.750)
I (0.647, 0.272, 0.075)
I (0.719, 0.849, 0.381)
I (0.728, 0.353, 0.425)
I (0.849, 0.719, 0.881)
I (0.968, 0.032, 0.250)
I (0.975, 0.589, 0.257)

## Properties
The calculation puts the uncorrected formation energy at -5.3 kcal/mol of atoms.

***

[4]
Compound: NbHgI2
Source: the Alexandria database
Functional: GGA-PBE
Structure: relaxed

a = 5.234 Å, b = 5.234 Å, c = 5.234 Å
α = 60.00°, β = 60.00°, γ = 60.00°
Atoms (fractional coordinates):
Nb (0.000, 0.000, 0.000)
Hg (0.500, 0.500, 0.500)
I (0.250, 0.250, 0.250)
I (0.750, 0.750, 0.750)

## Properties
The calculation puts the density of states at the Fermi level at 3.08 states/eV/f.u. The calculation puts the uncorrected formation energy at 12.7 kcal/mol of atoms.

***

[5]
Compound: NbHgI3
Source: the Alexandria database
Functional: GGA-PBE
Structure: relaxed

a = 5.711 Å, b = 5.711 Å, c = 5.711 Å
α = 90.00°, β = 90.00°, γ = 90.00°
Atoms (fractional coordinates):
Nb (0.000, 0.000, 0.000)
Hg (0.500, 0.500, 0.500)
I (0.000, 0.000, 0.500)
I (0.000, 0.500, 0.000)
I (0.500, 0.000, 0.000)

## Properties
The calculation puts the density of states at the Fermi level at 5.99 states/eV/f.u. The calculation puts the uncorrected formation energy at -1.4 kcal/mol of atoms.

***

[6]
Compound: NbHg2I6
Source: the Alexandria database
Functional: GGA-PBE
Structure: relaxed

a = 10.313 Å, b = 10.313 Å, c = 10.313 Å
α = 43.03°, β = 43.03°, γ = 43.03°
Atoms (fractional coordinates):
Nb (0.000, 0.000, 0.000)
Hg (0.168, 0.168, 0.168)
Hg (0.325, 0.325, 0.325)
I (0.071, 0.351, 0.748)
I (0.241, 0.937, 0.642)
I (0.351, 0.748, 0.071)
I (0.642, 0.241, 0.937)
I (0.748, 0.071, 0.351)
I (0.937, 0.642, 0.241)

## Properties
The calculation puts the density of states at the Fermi level at 3.09 states/eV/f.u. The calculation puts the uncorrected formation energy at -6.8 kcal/mol of atoms.

***

[7]
Compound: Nb2HgI8
Source: the Alexandria database
Functional: GGA-PBE
Structure: relaxed

a = 11.018 Å, b = 11.018 Å, c = 5.628 Å
α = 90.00°, β = 90.00°, γ = 120.00°
Atoms (fractional coordinates):
Nb (0.333, 0.667, 0.258)
Nb (0.667, 0.333, 0.742)
Hg (0.000, 0.000, 0.000)
I (0.192, 0.386, 0.259)
I (0.194, 0.808, 0.259)
I (0.333, 0.667, 0.758)
I (0.386, 0.194, 0.741)
I (0.614, 0.806, 0.259)
I (0.667, 0.333, 0.242)
I (0.806, 0.192, 0.741)
I (0.808, 0.614, 0.741)

## Properties
The calculation puts the density of states at the Fermi level at 6.91 states/eV/f.u. The calculation puts the uncorrected formation energy at -6.3 kcal/mol of atoms.

***

[8]
Compound: Nb3Hg2I9
Source: the Alexandria database
Functional: GGA-PBE
Structure: relaxed

a = 11.199 Å, b = 11.199 Å, c = 11.580 Å
α = 106.15°, β = 106.15°, γ = 110.40°
Atoms (fractional coordinates):
Nb (0.033, 0.207, 0.640)
Nb (0.086, 0.086, 0.418)
Nb (0.207, 0.033, 0.640)
Nb (0.793, 0.967, 0.360)
Nb (0.914, 0.914, 0.582)
Nb (0.967, 0.793, 0.360)
Hg (0.156, 0.464, 0.199)
Hg (0.464, 0.156, 0.199)
Hg (0.536, 0.844, 0.801)
Hg (0.844, 0.536, 0.801)
I (0.093, 0.491, 0.841)
I (0.096, 0.892, 0.206)
I (0.108, 0.904, 0.794)
I (0.174, 0.379, 0.535)
I (0.214, 0.786, 0.500)
I (0.296, 0.296, 0.840)
I (0.336, 0.336, 0.215)
I (0.379, 0.174, 0.535)
I (0.491, 0.093, 0.841)
I (0.509, 0.907, 0.159)
I (0.621, 0.826, 0.465)
I (0.664, 0.664, 0.785)
I (0.704, 0.704, 0.160)
I (0.786, 0.214, 0.500)
I (0.826, 0.621, 0.465)
I (0.892, 0.096, 0.206)
I (0.904, 0.108, 0.794)
I (0.907, 0.509, 0.159)

## Properties
The calculation puts the uncorrected formation energy at -9.0 kcal/mol of atoms.

***

[9]
Compound: NbHg2I5
Source: the Alexandria database
Functional: GGA-PBE
Structure: relaxed

a = 7.684 Å, b = 7.692 Å, c = 7.933 Å
α = 113.54°, β = 98.10°, γ = 116.25°
Atoms (fractional coordinates):
Nb (0.000, 0.000, 0.000)
Hg (0.232, 0.731, 0.500)
Hg (0.614, 0.118, 0.501)
I (0.000, 0.347, 0.001)
I (0.156, 0.235, 0.410)
I (0.346, 0.999, 0.999)
I (0.668, 0.667, 0.000)
I (0.825, 0.747, 0.590)

## Properties
The calculation puts the density of states at the Fermi level at 0.05 states/eV/f.u. The calculation puts the uncorrected formation energy at -7.0 kcal/mol of atoms.

***

[10]
Compound: NbHgOsI2
Source: the Alexandria database
Functional: GGA-PBE
Structure: relaxed

a = 5.695 Å, b = 5.695 Å, c = 5.427 Å
α = 90.00°, β = 90.00°, γ = 90.00°
Atoms (fractional coordinates):
Nb (0.000, 0.000, 0.000)
Hg (0.000, 0.000, 0.500)
Os (0.500, 0.500, 0.000)
I (0.000, 0.500, 0.500)
I (0.500, 0.000, 0.500)

## Properties
The calculation puts the density of states at the Fermi level at 9.42 states/eV/f.u. The calculation puts the uncorrected formation energy at 54.9 kcal/mol of atoms.

***

[11]
Compound: Rb2NbHgI6
Source: the Alexandria database
Functional: GGA-PBE
Structure: relaxed

a = 8.850 Å, b = 8.850 Å, c = 8.850 Å
α = 60.00°, β = 60.00°, γ = 60.00°
Atoms (fractional coordinates):
Rb (0.250, 0.250, 0.250)
Rb (0.750, 0.750, 0.750)
Nb (0.000, 0.000, 0.000)
Hg (0.500, 0.500, 0.500)
I (0.226, 0.226, 0.774)
I (0.226, 0.774, 0.226)
I (0.226, 0.774, 0.774)
I (0.774, 0.226, 0.226)
I (0.774, 0.226, 0.774)
I (0.774, 0.774, 0.226)

## Properties
The calculation puts the density of states at the Fermi level at 11.94 states/eV/f.u. The calculation puts the uncorrected formation energy at -17.1 kcal/mol of atoms.

***

[12]
Compound: Rb2NbHgI
Source: the Alexandria database
Functional: GGA-PBE
Structure: relaxed

a = 6.898 Å, b = 6.898 Å, c = 6.982 Å
α = 90.00°, β = 90.00°, γ = 90.00°
Atoms (fractional coordinates):
Rb (0.000, 0.500, 0.000)
Rb (0.500, 0.000, 0.000)
Nb (0.000, 0.000, 0.500)
Hg (0.500, 0.500, 0.500)
I (0.500, 0.500, 0.000)

## Properties
The calculation puts the density of states at the Fermi level at 12.93 states/eV/f.u. The calculation puts the uncorrected formation energy at 16.3 kcal/mol of atoms.